! PBE HfTiSb2, optimized geometry; values from VASP
! Theoretical density (g/cm³): 9.196
! Energy above the most stable polymorph in this dataset (meV/atom): 63
! DFT total energy (eV/atom): -6.7732
&SYSTEM
  ibrav = 0, nat = 4, ntyp = 3
/
ATOMIC_SPECIES
Hf 178.49 Hf.upf
Ti 47.87 Ti.upf
Sb 121.76 Sb.upf
ATOMIC_POSITIONS crystal
Hf 0.0000 0.0000 0.0000
Ti 0.5000 0.5000 0.5000
Sb 0.2500 0.2500 0.2500
Sb 0.7500 0.7500 0.7500
CELL_PARAMETERS angstrom
0.0000 3.4876 3.4876
3.4876 0.0000 3.4876
3.4876 3.4876 0.0000